Below is a relaxed structure of RbC, with properties calculated at the GGA-PBE level.

Cell and atoms, written as extended XYZ:
```
8
Lattice="-4.163 4.163 4.163 4.163 -4.163 4.163 4.163 4.163 -4.163" Properties=species:S:1:pos:R:3 pbc="T T T"
Rb 1.740 1.740 -1.740
Rb 1.740 -1.740 1.740
Rb -1.740 1.740 1.740
Rb 2.423 2.423 2.423
C 3.607 3.607 -3.607
C 3.607 -3.607 3.607
C 0.556 0.556 0.556
C -3.607 3.607 3.607
```

Values from the calculation:
Energy relative to the elements: 85 kJ/mol of atoms
DOS(E_F): 0.20 states/eV/cell
Polymorph energy (0 for the lowest one): 588 meV per atom
Uncorrected energy: -4.213 eV/atom